Entry 1:
KMg4As3O12: optimized geometry, GGA-PBE.

Lattice parameters (Å, degrees): 6.5970 6.5970 6.5970 109.47 109.47 109.47
Element x y z (fractional)
K  0.0000  0.0000  0.0000
Mg  0.5000  0.0000  0.0000
Mg  0.5000  0.5000  0.5000
Mg  0.0000  0.5000  0.0000
Mg  0.0000  0.0000  0.5000
As  0.0000  0.5000  0.5000
As  0.5000  0.5000  0.0000
As  0.5000  0.0000  0.5000
O  0.3333  0.8346  0.1678
O  0.6667  0.1655  0.8322
O  0.6667  0.8346  0.5013
O  0.8322  0.6667  0.1655
O  0.8346  0.1678  0.3333
O  0.1655  0.4987  0.3333
O  0.4987  0.3333  0.1655
O  0.1655  0.8322  0.6667
O  0.3333  0.1655  0.4987
O  0.1678  0.3333  0.8346
O  0.8346  0.5013  0.6667
O  0.5013  0.6667  0.8346

Computed properties:
Raw formation energy, eV per atom: -1.69
Calculated volume, Å³/cell: 221.01
Symmetry: Im-3 (204)

Entry 2:
Pm2Zn5Rh2Au: optimized geometry, GGA-PBE.

Lattice parameters (Å, degrees): 3.8758 9.7829 9.7829 90.00 90.00 90.00
Element x y z (fractional)
Pm  0.0000  0.6818  0.1818
Pm  0.0000  0.3182  0.8182
Pm  0.0000  0.1818  0.3182
Pm  0.0000  0.8182  0.6818
Zn  0.5000  0.1994  0.0542
Zn  0.5000  0.8006  0.9458
Zn  0.5000  0.0542  0.8006
Zn  0.5000  0.6994  0.4458
Zn  0.5000  0.9458  0.1994
Zn  0.5000  0.3006  0.5542
Zn  0.5000  0.5542  0.6994
Zn  0.5000  0.4458  0.3006
Zn  0.5000  0.5000  0.0000
Zn  0.5000  0.0000  0.5000
Rh  0.0000  0.1193  0.6193
Rh  0.0000  0.8807  0.3807
Rh  0.0000  0.6193  0.8807
Rh  0.0000  0.3807  0.1193
Au  0.0000  0.0000  0.0000
Au  0.0000  0.5000  0.5000

Computed properties:
Energy of formation from the pure elements, eV/f.u.: -4.20
N(E_F), states/eV/atom: 0.52
Calculated volume, Å³/cell: 370.93
Symmetry: P4/mbm (127)

Entry 3:
Li4LaBr: optimized geometry, GGA-PBE.

Lattice parameters (Å, degrees): 5.9053 5.9053 5.9053 60.00 60.00 60.00
Each line ends with the local moment (μB).
Element x y z (fractional)
Li  0.8715  0.3762  0.3762  0.02
Li  0.3762  0.3762  0.8715  0.02
Li  0.3762  0.8715  0.3762  0.02
Li  0.3762  0.3762  0.3762  0.02
La  0.0000  0.0000  0.0000  0.51
Br  0.7500  0.7500  0.7500  0.03

Computed properties:
Raw formation energy, eV per atom: -0.05
N(E_F), states/eV/atom: 0.57
Calculated volume, Å³/cell: 145.61
Symmetry: F-43m (216)

Entry 4:
HfCdSCl2: optimized geometry, GGA-PBE.

Lattice parameters (Å, degrees): 5.0797 5.0797 4.9185 90.00 90.00 90.00
Element x y z (fractional)
S  0.0000  0.0000  0.5000
Cl  0.0000  0.5000  0.0000
Cl  0.5000  0.0000  0.0000
Hf  0.0000  0.0000  0.0000
Cd  0.5000  0.5000  0.5000

Computed properties:
Energy relative to the lowest polymorph listed for this composition, meV per atom: 0.0
Raw formation energy, eV per atom: -0.96
N(E_F), states/eV/atom: 0.63
Calculated volume, Å³/cell: 126.91
Symmetry: P4/mmm (123)

Entry 5:
K3Sr: optimized geometry, GGA-PBE.

Lattice parameters (Å, degrees): 8.4924 8.4924 8.4924 117.07 117.07 117.07
Element x y z (fractional)
Sr  0.0000  0.5000  0.5000
K  0.0000  0.0000  0.0000
K  0.5000  0.0000  0.5000
K  0.5000  0.5000  0.0000

Computed properties:
Energy relative to the lowest polymorph listed for this composition, meV per atom: 27.6
Energy of formation from the pure elements, eV/f.u.: 0.34
N(E_F), states/eV/atom: 0.89
Calculated volume, Å³/cell: 267.33
Symmetry: R-3m (166)

Entry 6:
Tm3InPt12: optimized geometry, GGA-PBE.

Lattice parameters (Å, degrees): 4.0856 4.0856 16.2774 90.00 90.00 90.00
Element x y z (fractional)
Tm  0.0000  0.0000  0.2491
Tm  0.0000  0.0000  0.5000
Tm  0.0000  0.0000  0.7509
In  0.0000  0.0000  0.0000
Pt  0.5000  0.5000  0.0000
Pt  0.5000  0.5000  0.2481
Pt  0.5000  0.5000  0.5000
Pt  0.5000  0.5000  0.7519
Pt  0.5000  0.0000  0.1231
Pt  0.5000  0.0000  0.3745
Pt  0.5000  0.0000  0.6255
Pt  0.5000  0.0000  0.8769
Pt  0.0000  0.5000  0.1231
Pt  0.0000  0.5000  0.3745
Pt  0.0000  0.5000  0.6255
Pt  0.0000  0.5000  0.8769

Computed properties:
Energy of formation from the pure elements, eV/f.u.: -14.56
N(E_F), states/eV/atom: 0.95
Calculated volume, Å³/cell: 271.70
Symmetry: P4/mmm (123)